# H5Pt3Pb2 (PBE-GGA, relaxed)
data_H5Pt3Pb2
_cell_length_a 5.664
_cell_length_b 7.487
_cell_length_c 7.502
_cell_angle_alpha 67.14
_cell_angle_beta 77.56
_cell_angle_gamma 77.06
_space_group_name_H-M_alt 'P -1'
_space_group_IT_number 2
loop_
_space_group_symop_operation_xyz
'x,y,z'
'-x,-y,-z'
loop_
_atom_site_label
_atom_site_fract_x
_atom_site_fract_y
_atom_site_fract_z
_atom_site_occupancy
H1 0.147 0.420 0.315 1
H2 0.233 0.097 0.182 1
H3 0.268 0.827 0.919 1
H4 0.286 0.644 0.355 1
H5 0.326 0.706 0.598 1
Pt1 0.183 0.636 0.153 1
Pt2 0.248 0.035 0.976 1
Pt3 0.305 0.863 0.378 1
Pb1 0.207 0.124 0.582 1
Pb2 0.292 0.430 0.890 1
# Electronic total energy in eV per cell: -85.20